First-principles (GGA-PBE) data for a relaxed structure of BaFe2Os, as listed in the Alexandria database.

## Properties
**Energy relative to the elements**: 4.6 eV per formula unit
**Final energy**: -6.3744 eV per atom
**Total moment**: 1.42 μB per atom
**Space group**: No. 65
**Offset from the most stable computed form**: 747 meV per atom

a b c (Å): 7.4526 4.7886 3.0774
angles (deg): 90.00 65.61 130.20
Element x y z (fractional)
1 Os 0.0000 0.5000 0.5000
2 Ba 0.5000 0.5000 0.0000
3 Fe 0.5000 0.0000 0.5000
4 Fe 0.0000 0.0000 0.0000